Ho5Er2Tm12 | PBE | optimized geometry

Cell lengths 6.3994, 8.7318, 11.6882 Å; angles 115.42, 99.24, 81.60 degrees
Fractional positions:
Er 0.7362 0.0144 0.9605
Er 0.2638 0.9856 0.0395
Ho 0.1994 0.7088 0.1961
Ho 0.4862 0.6716 0.7806
Ho 0.8006 0.2912 0.8039
Ho 0.5138 0.3284 0.2194
Ho 0.0000 0.0000 0.5000
Tm 0.2976 0.3104 0.6381
Tm 0.2213 0.5581 0.4590
Tm 0.0327 0.6283 0.8691
Tm 0.7024 0.6896 0.3619
Tm 0.9673 0.3717 0.1309
Tm 0.5219 0.9367 0.6382
Tm 0.9486 0.1130 0.2692
Tm 0.4781 0.0633 0.3618
Tm 0.6679 0.7067 0.0779
Tm 0.7787 0.4419 0.5410
Tm 0.0514 0.8870 0.7308
Tm 0.3321 0.2933 0.9221

E_tot: -83.86 eV per cell
ΔE_f: 95 meV/atom
ΔE to the lowest computed polymorph: 0.000 eV/f.u.
Size of the total moment: 0.00 μB per atom
Symmetry: P-1 (2)

---

Tb5PmPr12 | PBE | optimized geometry

Cell lengths 10.9955, 11.0080, 6.3518 Å; angles 73.46, 90.00, 60.04 degrees
Fractional positions:
Pr 0.5010 0.6667 0.4997
Pr 0.3350 0.0000 0.0002
Pr 0.1677 0.3333 0.5003
Pr 0.4990 0.3333 0.5003
Pr 0.1666 0.0000 0.5002
Pr 0.8323 0.6667 0.4997
Pr 0.0010 0.6659 0.0004
Pr 0.6669 0.3341 0.9995
Pr 0.6650 0.0000 0.9998
Pr 0.9990 0.3341 0.9996
Pr 0.8334 0.0000 0.4998
Pr 0.3331 0.6659 0.0005
Tb 0.8328 0.3344 0.4981
Tb 0.5000 0.0000 0.5000
Tb 0.6666 0.6667 0.9999
Tb 0.1672 0.6656 0.5019
Tb 0.3334 0.3333 0.0001
Pm 0.0000 0.0000 0.0000

E_tot: -85.00 eV per cell
ΔE_f: 14 meV/atom
Size of the total moment: 0.00 μB per atom
Symmetry: C2/m (12)

---

La3SmPd | PBE | optimized geometry

Cell lengths 3.8916, 6.5391, 13.2948 Å; angles 85.15, 81.58, 72.69 degrees
Fractional positions:
La 0.9893 0.1060 0.9155
La 0.4262 0.6268 0.5208
La 0.7852 0.0450 0.3845
La 0.7652 0.7105 0.7592
La 0.1094 0.1655 0.6157
La 0.4502 0.9500 0.1497
Sm 0.1030 0.5085 0.2855
Sm 0.2229 0.5547 0.9994
Pd 0.7560 0.3478 0.1401
Pd 0.4533 0.3221 0.7713

E_tot: -52.64 eV per cell
ΔE_f: -325 meV/atom
Size of the total moment: 0.00 μB per atom
Symmetry: Cm (8)

---

CsAgMo | PBE | optimized geometry

Cell lengths 8.3365, 4.4940, 9.7284 Å; angles 90.00, 90.00, 90.00 degrees
Site moments in Bohr magnetons follow the coordinates.
Fractional positions:
Ag 0.7379 0.7500 0.1935  0.01
Ag 0.2621 0.2500 0.8065  0.01
Ag 0.2379 0.7500 0.3065  0.01
Ag 0.7621 0.2500 0.6935  0.01
Mo 0.0249 0.7500 0.0383  0.33
Mo 0.5249 0.7500 0.4617  0.34
Mo 0.9751 0.2500 0.9617  0.33
Mo 0.4751 0.2500 0.5383  0.34
Cs 0.5623 0.7500 0.8613  0.01
Cs 0.9377 0.2500 0.3613  0.01
Cs 0.4377 0.2500 0.1387  0.01
Cs 0.0623 0.7500 0.6387  0.01

E_tot: -45.46 eV per cell
ΔE_f: 1057 meV/atom
ΔE to the lowest computed polymorph: 0.812 eV/f.u.
Size of the total moment: 0.15 μB per atom
Symmetry: Pnma (62)